# PBE Zn2Ag2Ge, optimized geometry
data_Zn2Ag2Ge
_space_group_name_H-M_alt 'P 1'
_space_group_IT_number 1
_space_group_name_Hall 'P 1'
_cell_length_a 7.782
_cell_length_b 7.782
_cell_length_c 2.908
_cell_angle_alpha 90.00
_cell_angle_beta 90.00
_cell_angle_gamma 90.00
loop_
_atom_site_label
_atom_site_type_symbol
_atom_site_fract_x
_atom_site_fract_y
_atom_site_fract_z
Zn1 Zn 0.379 0.879 0.000
Ag1 Ag 0.677 0.823 0.500
Zn2 Zn 0.879 0.621 0.000
Ag2 Ag 0.177 0.677 0.500
Zn3 Zn 0.621 0.121 0.000
Ag3 Ag 0.823 0.323 0.500
Ge1 Ge 0.500 0.500 0.000
Ge2 Ge 0.000 0.000 0.000
Ag4 Ag 0.323 0.177 0.500
Zn4 Zn 0.121 0.379 0.000
# - Symmetry: P4/mbm
# - E: -12.4 eV/f.u.
# - Formation energy from the elements: 0.103 eV/atom
# - Offset from the most stable computed form: 0.000 eV per formula unit